SmDyB2Ir2C2 | PBE | optimized geometry

Geometry as extended XYZ:
```
8
Lattice="3.759 0.000 0.000 0.000 3.759 0.000 0.000 0.000 7.821" Properties=species:S:1:pos:R:3 pbc="T T T"
Sm 0.000 0.000 0.000
Dy 1.879 1.879 5.271
B 0.000 0.000 3.852
B 1.879 1.879 1.393
Ir 0.000 1.879 2.636
Ir 1.879 0.000 2.636
C 0.000 0.000 5.363
C 1.879 1.879 7.691
```

***

LaDyBC2 | PBE | optimized geometry

Geometry as extended XYZ:
```
5
Lattice="2.679 -2.679 0.000 2.679 2.679 0.000 -2.585 0.000 5.510" Properties=species:S:1:pos:R:3 pbc="T T T"
La 0.000 0.000 0.000
Dy 2.683 0.000 2.310
B 0.058 0.000 4.011
C 0.012 0.000 2.519
C 0.087 0.000 5.492
```

***

Dy3Ni4B4C3 | PBE | optimized geometry

Geometry as extended XYZ:
```
14
Lattice="-1.788 1.788 12.703 1.788 -1.788 12.703 1.788 1.788 -12.703" Properties=species:S:1:pos:R:3 pbc="T T T"
Dy 0.000 0.000 0.000
Dy 0.000 0.000 7.606
Dy 0.000 0.000 17.801
Ni 1.788 0.000 2.554
Ni 1.788 0.000 10.149
Ni 0.000 1.788 2.554
Ni 0.000 1.788 10.149
B 0.000 0.000 3.677
B 0.000 0.000 11.212
B 0.000 0.000 14.195
B 0.000 0.000 21.729
C 0.000 0.000 5.172
C 0.000 0.000 12.703
C 0.000 0.000 20.234
```

***

Final energy per entry: -0.575; -0.534; -0.513 Ry per atom